# 1
First-principles (PBE) data for crystalline Ce3Pm4SmTe8 at its relaxed geometry, as listed in the Alexandria database.

a b c (Å): 8.9689 8.9689 8.9689
angles (deg): 59.64 59.64 59.64
Last column: nearest neighbours and their distance in Å.
Fractional positions:
Ce1 0.0000 0.5000 0.5000  6 Te 3.17
Ce2 0.5000 0.0000 0.5000  6 Te 3.17
Ce3 0.5000 0.5000 0.0000  6 Te 3.17
Pm1 0.0000 0.0000 0.5000  6 Te 3.15-3.16
Pm2 0.0000 0.5000 0.0000  6 Te 3.15-3.16
Pm3 0.5000 0.0000 0.0000  6 Te 3.15-3.16
Pm4 0.5000 0.5000 0.5000  6 Te 3.17
Sm1 0.0000 0.0000 0.0000  6 Te 3.16
Te1 0.2485 0.7505 0.7505  1 Sm 3.16, 3 Pm 3.16-3.17, 2 Ce 3.17
Te2 0.2494 0.2494 0.2494  3 Pm 3.15, 3 Ce 3.17
Te3 0.2495 0.2495 0.7515  1 Sm 3.16, 3 Pm 3.16-3.17, 2 Ce 3.17
Te4 0.2495 0.7515 0.2495  1 Sm 3.16, 3 Pm 3.16-3.17, 2 Ce 3.17
Te5 0.7505 0.2485 0.7505  1 Sm 3.16, 3 Pm 3.16-3.17, 2 Ce 3.17
Te6 0.7505 0.7505 0.2485  1 Sm 3.16, 3 Pm 3.16-3.17, 2 Ce 3.17
Te7 0.7506 0.7506 0.7506  3 Pm 3.15, 3 Ce 3.17
Te8 0.7515 0.2495 0.2495  1 Sm 3.16, 3 Pm 3.16-3.17, 2 Ce 3.17

The value obtained for the formation energy without anion corrections is -1.395 eV per atom. The density of states at the Fermi level comes out at 26.31 states/eV/cell.

---

# 2
First-principles (PBE) data for crystalline TaHgTe2I at its relaxed geometry, as listed in the Alexandria database.

a b c (Å): 5.4093 5.4093 5.7593
angles (deg): 90.00 90.00 90.00
Last column: nearest neighbours and their distance in Å.
Fractional positions:
Ta1 0.0000 0.0000 0.0000  4 Te 2.70, 2 I 2.88
Hg1 0.5000 0.5000 0.5000  4 I 3.82, 8 Te 3.95
Te1 0.0000 0.5000 0.0000  2 Ta 2.70
Te2 0.5000 0.0000 0.0000  2 Ta 2.70
I1 0.0000 0.0000 0.5000  2 Ta 2.88

The energy above the lowest structure with this stoichiometry is 0 meV/atom. The value obtained for the formation energy without anion corrections is 0.073 eV per atom. The density of states at the Fermi level comes out at 1.20 states/eV/cell.

---

# 3
First-principles (PBE) data for crystalline BeTe2WI at its relaxed geometry, as listed in the Alexandria database.

a b c (Å): 4.9705 4.9705 4.9926
angles (deg): 90.00 90.00 90.00
Last column: nearest neighbours and their distance in Å.
Fractional positions:
Be1 0.0000 0.0000 0.0000  4 Te 2.49, 2 I 2.50
Te1 0.0000 0.5000 0.0000  2 Be 2.49
Te2 0.5000 0.0000 0.0000  2 Be 2.49
W1 0.5000 0.5000 0.5000  4 I 3.51, 8 Te 3.52
I1 0.0000 0.0000 0.5000  2 Be 2.50

The energy above the lowest structure with this stoichiometry is 177 meV/atom. The value obtained for the formation energy without anion corrections is 1.227 eV per atom. The density of states at the Fermi level comes out at 2.08 states/eV/cell.

---

# 4
First-principles (PBE) data for crystalline TmGa4Ir2 at its relaxed geometry, as listed in the Alexandria database.

a b c (Å): 7.8844 7.8844 3.9977
angles (deg): 90.00 90.00 90.00
Last column: nearest neighbours and their distance in Å.
Fractional positions:
Tm1 0.0000 0.0000 0.0000  6 Ir 3.10-3.21, 8 Ga 3.31
Tm2 0.5000 0.5000 0.5000  6 Ir 3.10-3.21, 8 Ga 3.31
Ga1 0.0843 0.3246 0.5000  3 Ir 2.50-2.58, 1 Ga 2.68
Ga2 0.1754 0.5843 0.0000  3 Ir 2.50-2.58, 1 Ga 2.68
Ga3 0.3246 0.0843 0.5000  3 Ir 2.50-2.58, 1 Ga 2.68
Ga4 0.4157 0.8246 0.0000  3 Ir 2.50-2.58, 1 Ga 2.68
Ga5 0.5843 0.1754 0.0000  3 Ir 2.50-2.58, 1 Ga 2.68
Ga6 0.6754 0.9157 0.5000  3 Ir 2.50-2.58, 1 Ga 2.68
Ga7 0.8246 0.4157 0.0000  3 Ir 2.50-2.58, 1 Ga 2.68
Ga8 0.9157 0.6754 0.5000  3 Ir 2.50-2.58, 1 Ga 2.68
Ir1 0.2124 0.7876 0.5000  6 Ga 2.50-2.58
Ir2 0.2876 0.2876 0.0000  6 Ga 2.50-2.58
Ir3 0.7124 0.7124 0.0000  6 Ga 2.50-2.58
Ir4 0.7876 0.2124 0.5000  6 Ga 2.50-2.58

The energy above the lowest structure with this stoichiometry is 80 meV/atom. The calculation puts the energy relative to the elements at -0.5400 eV/atom. The density of states at the Fermi level comes out at 6.52 states/eV/cell.

---

# 5
First-principles (PBE) data for crystalline Y2Er2TmSc2 at its relaxed geometry, as listed in the Alexandria database.

a b c (Å): 5.8638 5.8638 11.4976
angles (deg): 108.31 108.31 33.75
Last column: nearest neighbours and their distance in Å.
Fractional positions:
Y1 0.1698 0.1698 0.0878  4 Er 3.39-3.50, 5 Y 3.40-3.68, 2 Sc 3.50
Y2 0.8302 0.8302 0.9122  4 Er 3.39-3.50, 5 Y 3.40-3.68, 2 Sc 3.50
Er1 0.0478 0.0478 0.7656  3 Sc 3.35-3.42, 2 Tm 3.38, 4 Y 3.39-3.50, 2 Er 3.40
Er2 0.9522 0.9522 0.2344  3 Sc 3.35-3.42, 2 Tm 3.38, 4 Y 3.39-3.50, 2 Er 3.40
Tm1 0.5000 0.5000 0.5000  6 Sc 3.38-3.39, 4 Er 3.38, 2 Tm 3.40
Sc1 0.2723 0.2723 0.6329  3 Er 3.35-3.42, 3 Tm 3.38-3.39, 4 Sc 3.39-3.40, 2 Y 3.50
Sc2 0.7277 0.7277 0.3671  3 Er 3.35-3.42, 3 Tm 3.38-3.39, 4 Sc 3.39-3.40, 2 Y 3.50

The calculation puts the energy relative to the elements at 0.1085 eV/atom. The density of states at the Fermi level comes out at 13.05 states/eV/cell.

---

# 6
First-principles (PBE) data for crystalline Pr2ZrWN5 at its relaxed geometry, as listed in the Alexandria database.

a b c (Å): 7.0372 7.0372 10.7943
angles (deg): 90.00 90.00 151.65
Last column: nearest neighbours and their distance in Å.
Fractional positions:
Pr1 0.1084 0.8916 0.5000  6 N 2.40-2.68
Pr2 0.1506 0.8494 0.1070  7 N 2.52-2.82
Pr3 0.8494 0.1506 0.6070  7 N 2.52-2.82
Pr4 0.8916 0.1084 0.0000  6 N 2.40-2.68
Zr1 0.2183 0.7817 0.8236  6 N 2.15-2.37
Zr2 0.7817 0.2183 0.3236  6 N 2.15-2.37
W1 0.4750 0.5250 0.2643  3 N 1.87-1.96
W2 0.5250 0.4750 0.7643  3 N 1.87-1.96
N1 0.0454 0.9546 0.8472  2 W 1.96
N2 0.2816 0.7184 0.4604  2 Zr 2.27, 3 Pr 2.40-2.52
N3 0.3247 0.6753 0.1928  1 W 2.19, 2 Zr 2.30
N4 0.3754 0.6246 0.8106  1 W 2.10, 1 Zr 2.15
N5 0.4885 0.5115 0.5971  1 W 1.87
N6 0.5115 0.4885 0.0971  1 W 1.87
N7 0.6246 0.3754 0.3106  1 W 2.10, 1 Zr 2.15
N8 0.6753 0.3247 0.6928  1 W 2.19, 2 Zr 2.30
N9 0.7184 0.2816 0.9604  2 Zr 2.27, 3 Pr 2.40-2.52
N10 0.9546 0.0454 0.3472  2 W 1.96

The value obtained for the formation energy without anion corrections is -1.148 eV per atom. The density of states at the Fermi level comes out at 6.34 states/eV/cell.

---

# 7
First-principles (PBE) data for crystalline NaCa2AlNi at its relaxed geometry, as listed in the Alexandria database.

a b c (Å): 5.4729 5.4729 4.6797
angles (deg): 90.00 90.00 90.00
Last column: nearest neighbours and their distance in Å.
Fractional positions:
Na1 0.0000 0.0000 0.0000  8 Ca 3.60, 4 Al 3.87
Ca1 0.0000 0.5000 0.5000  2 Ni 2.74
Ca2 0.5000 0.0000 0.5000  2 Ni 2.74
Al1 0.5000 0.5000 0.0000  2 Ni 2.34
Ni1 0.5000 0.5000 0.5000  2 Al 2.34

The calculation puts the energy relative to the elements at -0.1059 eV/atom. The density of states at the Fermi level comes out at 3.19 states/eV/cell.

---

# 8
First-principles (PBE) data for crystalline K2C2N3 at its relaxed geometry, as listed in the Alexandria database.

a b c (Å): 7.4799 7.4799 4.3706
angles (deg): 91.46 91.46 31.74
Last column: nearest neighbours and their distance in Å.
Fractional positions:
K1 0.1523 0.1523 0.2235  5 N 2.81-3.12
K2 0.8477 0.8477 0.7765  5 N 2.81-3.12
C1 0.4312 0.4312 0.3076  2 N 1.23-1.28
C2 0.5688 0.5688 0.6924  2 N 1.23-1.28
N1 0.3477 0.3477 0.2375  1 C 1.23
N2 0.5000 0.5000 0.5000  2 C 1.28
N3 0.6523 0.6523 0.7625  1 C 1.23

The energy above the lowest structure with this stoichiometry is 0 meV/atom. The value obtained for the formation energy without anion corrections is -0.005 eV per atom. The density of states at the Fermi level comes out at 2.16 states/eV/cell.

---

# 9
First-principles (PBE) data for crystalline Ho12Tm2Th at its relaxed geometry, as listed in the Alexandria database.

a b c (Å): 6.3619 6.3619 24.6592
angles (deg): 90.00 90.00 90.00
Last column: nearest neighbours and their distance in Å.
Fractional positions:
Ho1 0.0005 0.9995 0.1102  6 Ho 3.18-3.41, 2 Th 3.53
Ho2 0.9995 0.0005 0.8898  6 Ho 3.18-3.41, 2 Th 3.53
Ho3 0.9995 0.4995 0.1102  6 Ho 3.18-3.41, 2 Th 3.53
Ho4 0.0005 0.5005 0.8898  6 Ho 3.18-3.41, 2 Th 3.53
Ho5 0.0811 0.5811 0.4385  6 Ho 3.04-3.36
Ho6 0.0811 0.9189 0.5615  6 Ho 3.04-3.36
Ho7 0.2500 0.2500 0.2143  5 Ho 3.08-3.41
Ho8 0.2500 0.2500 0.3390  5 Ho 3.08-3.41
Ho9 0.2500 0.2500 0.6610  5 Ho 3.08-3.41
Ho10 0.2500 0.2500 0.7857  5 Ho 3.08-3.41
Ho11 0.4189 0.5811 0.5615  6 Ho 3.04-3.36
Ho12 0.4189 0.9189 0.4385  6 Ho 3.04-3.36
Ho13 0.5005 0.0005 0.1102  6 Ho 3.18-3.41, 2 Th 3.53
Ho14 0.4995 0.9995 0.8898  6 Ho 3.18-3.41, 2 Th 3.53
Ho15 0.4995 0.5005 0.1102  6 Ho 3.18-3.41, 2 Th 3.53
Ho16 0.5005 0.4995 0.8898  6 Ho 3.18-3.41, 2 Th 3.53
Ho17 0.5811 0.0811 0.5615  6 Ho 3.04-3.36
Ho18 0.5811 0.4189 0.4385  6 Ho 3.04-3.36
Ho19 0.7500 0.7500 0.2143  5 Ho 3.08-3.41
Ho20 0.7500 0.7500 0.3390  5 Ho 3.08-3.41
Ho21 0.7500 0.7500 0.6610  5 Ho 3.08-3.41
Ho22 0.7500 0.7500 0.7857  5 Ho 3.08-3.41
Ho23 0.9189 0.0811 0.4385  6 Ho 3.04-3.36
Ho24 0.9189 0.4189 0.5615  6 Ho 3.04-3.36
Tm1 0.2500 0.7500 0.2762  8 Ho 3.53-3.54
Tm2 0.2500 0.7500 0.7238  8 Ho 3.53-3.54
Tm3 0.7500 0.2500 0.2762  8 Ho 3.53-3.54
Tm4 0.7500 0.2500 0.7238  8 Ho 3.53-3.54
Th1 0.2500 0.7500 0.0000  8 Ho 3.53
Th2 0.7500 0.2500 0.0000  8 Ho 3.53

The calculation puts the energy relative to the elements at 0.4024 eV/atom. The density of states at the Fermi level comes out at 43.58 states/eV/cell.

---

# 10
First-principles (PBE) data for crystalline CaTcAsBr2 at its relaxed geometry, as listed in the Alexandria database.

a b c (Å): 5.2546 5.2546 4.7590
angles (deg): 90.00 90.00 90.00
Last column: nearest neighbours and their distance in Å.
Fractional positions:
Ca1 0.0000 0.0000 0.0000  8 Br 3.54, 4 As 3.72
Tc1 0.5000 0.5000 0.5000  2 As 2.38, 4 Br 2.63
As1 0.5000 0.5000 0.0000  2 Tc 2.38
Br1 0.0000 0.5000 0.5000  2 Tc 2.63
Br2 0.5000 0.0000 0.5000  2 Tc 2.63

The energy above the lowest structure with this stoichiometry is 0 meV/atom. The value obtained for the formation energy without anion corrections is -0.264 eV per atom. The density of states at the Fermi level comes out at 4.33 states/eV/cell.

---

# 11
First-principles (PBE) data for crystalline TlFe2As at its relaxed geometry, as listed in the Alexandria database.

a b c (Å): 4.8473 4.8473 4.8473
angles (deg): 135.13 119.34 78.54
Last column: nearest neighbours and their distance in Å.
Fractional positions:
Tl1 0.0000 0.0000 0.0000  8 Fe 2.84-2.92, 4 As 3.07
Fe1 0.2868 0.7868 0.5000  2 As 2.45
Fe2 0.7132 0.2132 0.5000  2 As 2.45
As1 0.5000 0.5000 0.0000  4 Fe 2.45

The energy above the lowest structure with this stoichiometry is 312 meV/atom. The calculation puts the energy relative to the elements at 0.5078 eV/atom. The density of states at the Fermi level comes out at 3.70 states/eV/cell.

---

# 12
First-principles (PBE) data for crystalline MgMo5 at its relaxed geometry, as listed in the Alexandria database.

a b c (Å): 4.6843 8.0976 8.0976
angles (deg): 18.58 90.00 90.00
Last column: nearest neighbours and their distance in Å.
Fractional positions:
Mg1 0.0000 0.0000 0.0000  2 Mg 2.62, 6 Mo 2.80-2.91
Mo1 0.0000 0.3307 0.3307  8 Mo 2.62-2.92
Mo2 0.0000 0.6644 0.6644  8 Mo 2.62-2.93
Mo3 0.5000 0.2377 0.2377  8 Mo 2.62-2.93
Mo4 0.5000 0.5707 0.5707  4 Mo 2.62-2.78, 4 Mg 2.91
Mo5 0.5000 0.9035 0.9035  6 Mo 2.62-2.92, 2 Mg 2.80

The energy above the lowest structure with this stoichiometry is 151 meV/atom. The calculation puts the energy relative to the elements at 0.3599 eV/atom. The density of states at the Fermi level comes out at 6.28 states/eV/cell.